[1]
Computed, not measured: a geometry-optimized BiAs2Se structure at the GGA-PBE level of DFT.

CIF file:
```
data_BiAs2Se
_chemical_formula_sum 'Bi4 As8 Se4'
_symmetry_space_group_name_H-M 'I -4 2 d'
_symmetry_Int_Tables_number 122
_symmetry_space_group_name_Hall 'I -4 2bw'
_cell_length_a 5.678
_cell_length_b 5.678
_cell_length_c 15.333
_cell_angle_alpha 90.00
_cell_angle_beta 90.00
_cell_angle_gamma 90.00
loop_
_atom_site_label
_atom_site_fract_x
_atom_site_fract_y
_atom_site_fract_z
Bi1 0.000 0.000 0.000
As1 0.204 0.250 0.625
Se1 0.000 0.000 0.500
```

* electronic total energy: -62.94 eV per cell
* energy above the lowest structure with this stoichiometry: 0.00 kcal/mol of atoms

=====

[2]
Computed, not measured: a geometry-optimized Bi3AsSe structure at the GGA-PBE level of DFT.

CIF file:
```
data_Bi3AsSe
_chemical_formula_sum 'Bi3 As1 Se1'
_symmetry_space_group_name_H-M 'P m -3 m'
_symmetry_Int_Tables_number 221
_symmetry_space_group_name_Hall '-P 4 2 3'
_cell_length_a 5.549
_cell_length_b 5.549
_cell_length_c 5.549
_cell_angle_alpha 90.00
_cell_angle_beta 90.00
_cell_angle_gamma 90.00
loop_
_atom_site_label
_atom_site_fract_x
_atom_site_fract_y
_atom_site_fract_z
Bi1 0.000 0.000 0.500
As1 0.000 0.000 0.000
Se1 0.500 0.500 0.500
```

* electronic total energy: -16.53 eV per cell
* energy above the lowest structure with this stoichiometry: 0.00 kcal/mol of atoms

=====

[3]
Computed, not measured: a geometry-optimized BiAsSe structure at the GGA-PBE level of DFT.

CIF file:
```
data_BiAsSe
_chemical_formula_sum 'Bi4 As4 Se4'
_symmetry_space_group_name_H-M 'P n m a'
_symmetry_Int_Tables_number 62
_cell_length_a 8.083
_cell_length_b 3.932
_cell_length_c 10.391
_cell_angle_alpha 90.00
_cell_angle_beta 90.00
_cell_angle_gamma 90.00
loop_
_symmetry_equiv_pos_as_xyz
'x,y,z'
'-x,-y,-z'
'-x+1/2,-y,z+1/2'
'x+1/2,y,-z+1/2'
'x+1/2,-y+1/2,-z+1/2'
'-x+1/2,y+1/2,z+1/2'
'-x,y+1/2,-z'
'x,-y+1/2,z'
loop_
_atom_site_label
_atom_site_fract_x
_atom_site_fract_y
_atom_site_fract_z
Bi1 0.138 0.250 0.217
As1 0.100 0.250 0.490
Se1 0.099 0.250 0.848
```

* electronic total energy: -49.85 eV per cell
* energy above the lowest structure with this stoichiometry: 0.00 kcal/mol of atoms

=====

[4]
Computed, not measured: a geometry-optimized BiAs3Se structure at the GGA-PBE level of DFT.

CIF file:
```
data_BiAs3Se
_chemical_formula_sum 'Bi1 As3 Se1'
_symmetry_space_group_name_H-M 'P m -3 m'
_symmetry_Int_Tables_number 221
_symmetry_space_group_name_Hall '-P 4 2 3'
_cell_length_a 5.430
_cell_length_b 5.430
_cell_length_c 5.430
_cell_angle_alpha 90.00
_cell_angle_beta 90.00
_cell_angle_gamma 90.00
loop_
_atom_site_label
_atom_site_fract_x
_atom_site_fract_y
_atom_site_fract_z
Bi1 0.000 0.000 0.000
As1 0.000 0.000 0.500
Se1 0.500 0.500 0.500
```

* electronic total energy: -14.87 eV per cell

=====

Results for formation energy without anion corrections: 0.232, 0.649, -0.149, 1.289 (in eV/atom, following the order of the records).
Results for calculated volume: 30.89, 34.17, 27.52, 32.01 (in Å³ per atom, following the order of the records).